*one*
## TlGe2O4 (PBE-GGA)

Data for a relaxed TlGe2O4 crystal.

a = 5.8783 Å, b = 5.8783 Å, c = 8.3729 Å
α = 111.57°, β = 111.57°, γ = 60.04°
Last column: nearest neighbours and their distance in Å.
Positions (direct):
Tl1 0.0000 0.0000 0.0000  3 O 2.57-2.58
Tl2 0.7474 0.7474 0.2738  3 O 2.44-2.45
Ge1 0.3111 0.3111 0.9356  3 O 1.93
Ge2 0.3700 0.3700 0.6121  6 O 1.85-2.04
Ge3 0.3702 0.8545 0.6120  6 O 1.85-2.04
Ge4 0.8545 0.3702 0.6120  6 O 1.85-2.04
O1 0.1084 0.1084 0.7724  3 Ge 1.93-2.04
O2 0.1087 0.5455 0.7724  3 Ge 1.93-2.04
O3 0.1555 0.1555 0.4897  3 Ge 1.98
O4 0.1735 0.6494 0.4954  2 Ge 1.85
O5 0.5455 0.1087 0.7724  3 Ge 1.93-2.04
O6 0.5830 0.5830 0.7591  3 Ge 1.99
O7 0.6494 0.1735 0.4954  2 Ge 1.85
O8 0.6497 0.6497 0.4955  2 Ge 1.85

Output
**Space group**: Cm
**D(E_F)**: 0.000 states/eV per atom


*two*
## TlGe2O4 (PBE-GGA)

Data for a relaxed TlGe2O4 crystal.

a = 6.3428 Å, b = 6.3428 Å, c = 6.3428 Å
α = 100.47°, β = 100.47°, γ = 129.54°
Last column: nearest neighbours and their distance in Å.
Positions (direct):
Tl1 0.0000 0.0000 0.0000  4 O 2.86
Ge1 0.2500 0.7500 0.5000  4 O 1.87
Ge2 0.7500 0.2500 0.5000  4 O 1.87
O1 0.0485 0.3491 0.3977  2 Ge 1.87
O2 0.3491 0.9515 0.3006  2 Ge 1.87
O3 0.6509 0.0485 0.6994  2 Ge 1.87
O4 0.9515 0.6509 0.6023  2 Ge 1.87

Output
**Space group**: I4/m
**D(E_F)**: 0.093 states/eV per atom


Order of stability, best first: *one*, *two*